No. 1
Here is LiLaSc2 after structural relaxation from Alexandria via LeMat-Bulk. Energies are from GGA-PBE.

Values from the calculation:
The calculated volume is 106 Å³/cell. The energy relative to the elements comes out at 0.2201 eV per atom.

```
4
Lattice="3.339 0.000 0.000 0.000 4.931 0.000 0.000 0.000 6.418" Properties=species:S:1:pos:R:3 pbc="T T T"
La 1.669 2.466 1.605
Sc 0.000 0.000 6.393
Sc 0.000 0.000 3.234
Li 1.669 2.466 4.814
```

No. 2
Here is LiLaSc2 after structural relaxation from Alexandria via LeMat-Bulk. Energies are from GGA-PBE.

Values from the calculation:
The calculated volume is 104 Å³/cell. The energy relative to the elements comes out at 0.1411 eV per atom.

```
4
Lattice="-4.544 3.569 1.692 -3.578 1.705 4.532 1.978 4.558 2.319" Properties=species:S:1:pos:R:3 pbc="T T T"
Sc -4.407 7.485 6.411
Sc -6.041 9.644 8.384
Li -1.617 2.618 2.268
La -3.295 4.833 4.292
```

no.,total DFT energy (no corrections) (eV per atom),theoretical density (Mg/m³)
1,-4.6560,3.7
2,-4.7350,3.8